Entry 1:
! KLi2Au | the Alexandria database | GGA-PBE | optimized geometry; values from VASP
&SYSTEM
  ibrav = 0, nat = 4, ntyp = 3
/
ATOMIC_SPECIES
K 39.10 K.upf
Li 6.94 Li.upf
Au 196.97 Au.upf
ATOMIC_POSITIONS angstrom
K 0.000 0.000 0.000
Li 1.685 0.000 4.859
Li 0.000 0.000 10.768
Au 0.000 2.130 4.893
CELL_PARAMETERS angstrom
-1.685 2.130 7.900
1.685 -2.130 7.900
1.685 2.130 -7.900
! electronic total energy: -2.22 eV/atom
! symmetry: No. 44



Entry 2:
! Ca2TbTaN4 | the Alexandria database | GGA-PBE | optimized geometry; values from VASP
&SYSTEM
  ibrav = 0, nat = 8, ntyp = 4
/
ATOMIC_SPECIES
Ca 40.08 Ca.upf
Tb 158.93 Tb.upf
Ta 180.95 Ta.upf
N 14.01 N.upf
ATOMIC_POSITIONS angstrom
Ca 0.000 0.000 0.000
Ca 2.922 1.666 0.000
Tb -0.966 1.666 2.806
Ta 1.956 0.000 2.806
N 0.202 0.000 4.013
N 1.095 1.666 1.605
N 2.817 1.666 4.007
N 3.709 0.000 1.599
CELL_PARAMETERS angstrom
5.844 0.000 0.000
0.000 3.332 0.000
-1.933 0.000 5.612
! formation energy from raw total energies: -1299 meV per atom
! symmetry: No. 10



Entry 3:
! PrH2Br3 | the Alexandria database | GGA-PBE | optimized geometry; values from VASP
&SYSTEM
  ibrav = 0, nat = 12, ntyp = 3
/
ATOMIC_SPECIES
Pr 140.91 Pr.upf
H 1.01 H.upf
Br 79.90 Br.upf
ATOMIC_POSITIONS angstrom
Pr 0.000 0.000 0.000
Pr 0.000 0.000 3.895
H 0.000 4.646 0.405
H 0.000 4.646 3.489
H 4.023 2.323 4.300
H 4.023 2.323 7.384
Br 0.000 2.215 5.842
Br -2.105 5.861 5.842
Br 1.918 1.108 1.947
Br 2.105 5.861 5.842
Br 6.128 1.108 1.947
Br 4.023 4.753 1.947
CELL_PARAMETERS angstrom
8.047 0.000 0.000
-4.023 6.969 0.000
0.000 0.000 7.789
! electronic total energy: -3.21 eV/atom
! symmetry: No. 194



Entry 4:
! LiCr2TcSe | the Alexandria database | GGA-PBE | optimized geometry; values from VASP
&SYSTEM
  ibrav = 0, nat = 5, ntyp = 4
/
ATOMIC_SPECIES
Li 6.94 Li.upf
Cr 52.00 Cr.upf
Tc 98.00 Tc.upf
Se 78.96 Se.upf
ATOMIC_POSITIONS angstrom
Li 0.000 0.000 0.000
Cr 0.000 2.298 2.375
Cr 2.298 0.000 2.375
Tc 0.000 0.000 2.375
Se 2.298 2.298 0.000
CELL_PARAMETERS angstrom
4.596 0.000 0.000
0.000 4.596 0.000
0.000 0.000 4.750
! formation energy from raw total energies: 971 meV per atom
! symmetry: No. 123



Entry 5:
! Y3MgTa | the Alexandria database | GGA-PBE | optimized geometry; values from VASP
&SYSTEM
  ibrav = 0, nat = 5, ntyp = 3
/
ATOMIC_SPECIES
Y 88.91 Y.upf
Mg 24.30 Mg.upf
Ta 180.95 Ta.upf
ATOMIC_POSITIONS angstrom
Y 0.000 0.000 2.752
Y 0.000 2.752 0.000
Y 2.752 0.000 0.000
Mg 2.752 2.752 2.752
Ta 0.000 0.000 0.000
CELL_PARAMETERS angstrom
5.503 0.000 0.000
0.000 5.503 0.000
0.000 0.000 5.503
! electronic total energy: -5.96 eV/atom
! symmetry: No. 221



Entry 6:
! Sn3RuCl | the Alexandria database | GGA-PBE | optimized geometry; values from VASP
&SYSTEM
  ibrav = 0, nat = 5, ntyp = 3
/
ATOMIC_SPECIES
Sn 118.71 Sn.upf
Ru 101.07 Ru.upf
Cl 35.45 Cl.upf
ATOMIC_POSITIONS angstrom
Sn 0.000 0.000 2.622
Sn 0.000 2.622 0.000
Sn 2.622 0.000 0.000
Ru 2.622 2.622 2.622
Cl 0.000 0.000 0.000
CELL_PARAMETERS angstrom
5.244 0.000 0.000
0.000 5.244 0.000
0.000 0.000 5.244
! formation energy from raw total energies: 1083 meV per atom
! symmetry: No. 221



no.,DOS(E_F) (states/eV/f.u.)
1,1.76
2,0.18
3,0.00
4,3.32
5,6.07
6,5.84